# K3ZnCl6 | the Open Quantum Materials Database | GGA-PBE | optimized geometry
# - Raw total energy: -2.963 eV/atom
data_K3ZnCl6
_chemical_formula_sum 'K3 Zn1 Cl6'
_symmetry_space_group_name_H-M 'P -1'
_symmetry_Int_Tables_number 2
_cell_length_a 6.814
_cell_length_b 7.137
_cell_length_c 7.819
_cell_angle_alpha 93.48
_cell_angle_beta 114.76
_cell_angle_gamma 117.99
loop_
_symmetry_equiv_pos_as_xyz
'x,y,z'
'-x,-y,-z'
loop_
_atom_site_label
_atom_site_type_symbol
_atom_site_fract_x
_atom_site_fract_y
_atom_site_fract_z
_atom_site_occupancy
K1 K 0.000 0.000 0.000 1
K2 K 0.496 0.741 0.267 1
Zn1 Zn 0.000 0.500 0.500 1
Cl1 Cl 0.026 0.212 0.362 1
Cl2 Cl 0.090 0.394 0.827 1
Cl3 Cl 0.456 0.775 0.657 1

=====

# K2Zr7Cl18 | the Open Quantum Materials Database | GGA-PBE | optimized geometry
# - Total moment: 0.074 μB per atom
# - Raw total energy: -5.228 eV/atom
data_K2Zr7Cl18
_chemical_formula_sum 'K6 Zr21 Cl54'
_symmetry_space_group_name_H-M 'R -3'
_symmetry_Int_Tables_number 148
_symmetry_space_group_name_Hall '-R 3'
_cell_length_a 9.5338
_cell_length_b 9.5338
_cell_length_c 26.0306
_cell_angle_alpha 90.00
_cell_angle_beta 90.00
_cell_angle_gamma 120.00
loop_
_atom_site_label
_atom_site_type_symbol
_atom_site_fract_x
_atom_site_fract_y
_atom_site_fract_z
_atom_site_occupancy
K1 K 0.0000 0.0000 0.2240 1
Zr1 Zr 0.0000 0.0000 0.5000 1
Zr2 Zr 0.0499 0.2135 0.0493 1
Cl1 Cl 0.0392 0.2323 0.4445 1
Cl2 Cl 0.0433 0.2390 0.6691 1
Cl3 Cl 0.0555 0.2395 0.8867 1